[1]
NaLiGe2Pt | GGA-PBE | optimized geometry

Structure (POSCAR):
```
NaLiGe2Pt
1.0
4.2314 0.0000 0.0000
0.0000 4.2314 0.0000
0.0000 0.0000 10.4465
Na Li Ge Pt
2 2 4 2
Cartesian
0.0000 0.0000 0.0000
2.1157 2.1157 5.2232
0.0000 2.1157 2.6116
2.1157 0.0000 7.8348
0.0000 0.0000 3.9832
0.0000 0.0000 6.4633
2.1157 2.1157 1.2400
2.1157 2.1157 9.2064
0.0000 2.1157 7.8348
2.1157 0.0000 2.6116
```

Computed properties:
Formation energy, eV per formula unit: -1.8
Space-group type: I-4m2, No. 119

---

[2]
YNb3Sb | GGA-PBE | optimized geometry

Structure (POSCAR):
```
YNb3Sb
1.0
5.0939 0.0000 0.0000
0.0000 5.0939 0.0000
0.0000 0.0000 5.0939
Y Nb Sb
1 3 1
Cartesian
0.0000 0.0000 0.0000
0.0000 2.5470 2.5470
2.5470 0.0000 2.5470
2.5470 2.5470 0.0000
2.5470 2.5470 2.5470
```

Computed properties:
Energy above the lowest structure with this stoichiometry, eV per formula unit: 0.00
ΔE_f (raw), kJ/mol of atoms: 96.4
Space-group type: Pm-3m, No. 221

---

[3]
MnFe2Ni | GGA-PBE | optimized geometry

Structure (POSCAR):
```
MnFe2Ni
1.0
6.6040 0.0000 0.0000
0.0000 6.6040 0.0000
0.0000 0.0000 4.8812
Mn Fe Ni
4 8 4
Cartesian
0.0000 0.0000 0.0000
0.0000 3.3020 1.2203
3.3020 0.0000 3.6609
3.3020 3.3020 2.4406
1.4900 1.6510 3.0508
1.6510 4.7920 4.2711
1.6510 5.1140 1.8305
1.8120 1.6510 0.6102
4.7920 4.9530 0.6102
4.9530 1.4900 1.8305
4.9530 1.8120 4.2711
5.1140 4.9530 3.0508
0.0000 0.0000 2.4406
0.0000 3.3020 3.6609
3.3020 0.0000 1.2203
3.3020 3.3020 0.0000
```

Computed properties:
Formation energy, eV per formula unit: 2.1
Space-group type: I-42d, No. 122

---

[4]
Au | GGA-PBE | optimized geometry

Structure (POSCAR):
```
Au
1.0
8.3039 0.0000 0.0000
0.0000 8.3039 0.0000
0.0000 0.0000 8.3039
Au
16
Cartesian
1.0239 1.0239 7.2799
1.0239 7.2799 1.0239
1.6166 1.6166 1.6166
1.6166 6.6873 6.6873
2.5354 2.5354 5.7685
2.5354 5.7685 2.5354
3.1280 3.1280 3.1280
3.1280 5.1759 5.1759
5.1759 3.1280 5.1759
5.1759 5.1759 3.1280
5.7685 2.5354 2.5354
5.7685 5.7685 5.7685
6.6873 1.6166 6.6873
6.6873 6.6873 1.6166
7.2799 1.0239 1.0239
7.2799 7.2799 7.2799
```

Computed properties:
Energy above the lowest structure with this stoichiometry, eV per formula unit: 0.64
Formation energy, eV per formula unit: 0.6
Space-group type: I-43m, No. 217

---

Please write out number 1 again, unchanged.
NaLiGe2Pt | GGA-PBE | optimized geometry

Structure (POSCAR):
```
NaLiGe2Pt
1.0
4.2314 0.0000 0.0000
0.0000 4.2314 0.0000
0.0000 0.0000 10.4465
Na Li Ge Pt
2 2 4 2
Cartesian
0.0000 0.0000 0.0000
2.1157 2.1157 5.2232
0.0000 2.1157 2.6116
2.1157 0.0000 7.8348
0.0000 0.0000 3.9832
0.0000 0.0000 6.4633
2.1157 2.1157 1.2400
2.1157 2.1157 9.2064
0.0000 2.1157 7.8348
2.1157 0.0000 2.6116
```

Computed properties:
Formation energy, eV per formula unit: -1.8
Space-group type: I-4m2, No. 119